No. 1
Density functional theory data (PBE) for crystalline PmScSiNi at its relaxed geometry.

a = 6.805 Å, b = 6.805 Å, c = 6.805 Å
α = 90.00°, β = 90.00°, γ = 90.00°
Space group F-43m (No. 216)
Symmetry-distinct sites (fractional):
Pm  0.000  0.000  0.000 x4
Sc  0.000  0.000  0.500 x4
Si  0.250  0.250  0.250 x4
Ni  0.250  0.250  0.750 x4

energy relative to the elements, uncorrected: -425 meV/atom

---

No. 2
Density functional theory data (PBE) for crystalline Pm2ScNi4Sn3 at its relaxed geometry.

a = 4.419 Å, b = 4.419 Å, c = 10.268 Å
α = 90.00°, β = 90.00°, γ = 90.00°
Space group P-4m2 (No. 115)
Symmetry-distinct sites (fractional):
Pm  0.000  0.500  0.230 x2
Sc  0.000  0.000  0.500 x1
Ni  0.000  0.000  0.000 x1
Ni  0.000  0.500  0.633 x2
Ni  0.500  0.500  0.000 x1
Sn  0.000  0.500  0.875 x2
Sn  0.500  0.500  0.500 x1

formation enthalpy at 0 K: -0.54 eV/atom

---

| no. | VASP energy (eV for the cell shown) | Fermi-level density of states (states/eV per cell) |
| --- | --- | --- |
| 1 | -95.95 | 7.36 |
| 2 | -56.39 | 7.21 |